Entry 1:
# SiPt3W PBE-GGA relaxed
data_SiPt3W
_chemical_formula_sum 'Si1 Pt3 W1'
_cell_length_a 4.489
_cell_length_b 4.489
_cell_length_c 4.489
_cell_angle_alpha 90.00
_cell_angle_beta 90.00
_cell_angle_gamma 90.00
_space_group_name_H-M_alt 'P m -3 m'
_space_group_IT_number 221
_space_group_name_Hall '-P 4 2 3'
loop_
_atom_site_label
_atom_site_fract_x
_atom_site_fract_y
_atom_site_fract_z
Si1 0.000 0.000 0.000
Pt1 0.000 0.000 0.500
W1 0.500 0.500 0.500
# formation energy from raw total energies	3.69	eV per formula unit
# energy relative to the lowest polymorph listed for this composition	0.0	meV/atom


Entry 2:
# Y2PtAu2 PBE-GGA relaxed
data_Y2PtAu2
_chemical_formula_sum 'Y4 Pt2 Au4'
_cell_length_a 7.554
_cell_length_b 7.554
_cell_length_c 3.904
_cell_angle_alpha 90.00
_cell_angle_beta 90.00
_cell_angle_gamma 90.00
_space_group_name_H-M_alt 'P 4/m b m'
_space_group_IT_number 127
_space_group_name_Hall '-P 4 2ab'
loop_
_atom_site_label
_atom_site_fract_x
_atom_site_fract_y
_atom_site_fract_z
Y1 0.175 0.325 0.000
Pt1 0.000 0.000 0.500
Au1 0.130 0.630 0.500
# energy relative to the lowest polymorph listed for this composition	0.0	meV/atom


Entry 3:
# AcLu2Os PBE-GGA relaxed
data_AcLu2Os
_chemical_formula_sum 'Ac1 Lu2 Os1'
_cell_length_a 3.450
_cell_length_b 3.450
_cell_length_c 9.269
_cell_angle_alpha 90.00
_cell_angle_beta 90.00
_cell_angle_gamma 90.00
_space_group_name_H-M_alt 'P 4/m m m'
_space_group_IT_number 123
_space_group_name_Hall '-P 4 2'
loop_
_atom_site_label
_atom_site_fract_x
_atom_site_fract_y
_atom_site_fract_z
Ac1 0.000 0.000 0.000
Lu1 0.500 0.500 0.330
Os1 0.000 0.000 0.500
# DFT total energy	-6.26	eV/atom


Entry 4:
# NaHgBr2 PBE-GGA relaxed
data_NaHgBr2
_chemical_formula_sum 'Na2 Hg2 Br4'
_cell_length_a 7.971
_cell_length_b 4.322
_cell_length_c 7.847
_cell_angle_alpha 90.00
_cell_angle_beta 103.51
_cell_angle_gamma 90.00
_space_group_name_H-M_alt 'P 1 2/c 1'
_space_group_IT_number 13
loop_
_space_group_symop_operation_xyz
'x,y,z'
'-x,-y,-z'
'-x,y,-z+1/2'
'x,-y,z+1/2'
loop_
_atom_site_label
_atom_site_fract_x
_atom_site_fract_y
_atom_site_fract_z
Na1 0.000 0.153 0.250
Hg1 0.500 0.000 0.000
Br1 0.191 0.332 0.989
# formation energy from raw total energies	-3.12	eV per formula unit
# energy relative to the lowest polymorph listed for this composition	0.0	meV/atom


Entry 5:
# Li2AgH2 PBE-GGA relaxed
data_Li2AgH2
_chemical_formula_sum 'Li4 Ag2 H4'
_cell_length_a 5.831
_cell_length_b 5.831
_cell_length_c 3.116
_cell_angle_alpha 90.00
_cell_angle_beta 90.00
_cell_angle_gamma 90.00
_space_group_name_H-M_alt 'P 4/m b m'
_space_group_IT_number 127
_space_group_name_Hall '-P 4 2ab'
loop_
_atom_site_label
_atom_site_fract_x
_atom_site_fract_y
_atom_site_fract_z
Li1 0.169 0.331 0.000
Ag1 0.000 0.000 0.500
H1 0.176 0.676 0.500
# energy relative to the lowest polymorph listed for this composition	66.3	meV/atom


Entry 6:
# LiTa2Al PBE-GGA relaxed
data_LiTa2Al
_chemical_formula_sum 'Li2 Ta4 Al2'
_cell_length_a 3.280
_cell_length_b 4.412
_cell_length_c 9.663
_cell_angle_alpha 90.00
_cell_angle_beta 90.00
_cell_angle_gamma 90.00
_space_group_name_H-M_alt 'C m m m'
_space_group_IT_number 65
_space_group_name_Hall '-C 2 2'
loop_
_atom_site_label
_atom_site_fract_x
_atom_site_fract_y
_atom_site_fract_z
Li1 0.000 0.000 0.000
Ta1 0.000 0.500 0.266
Al1 0.000 0.000 0.500
# energy relative to the lowest polymorph listed for this composition	119.5	meV/atom


Number 1: DOS(E_F) 0.745 states/eV per atom. Number 2: DOS(E_F) 0.727 states/eV per atom. Number 3: DOS(E_F) 0.723 states/eV per atom. Number 4: DOS(E_F) 0.234 states/eV per atom. Number 5: DOS(E_F) 0.141 states/eV per atom. Number 6: DOS(E_F) 0.443 states/eV per atom.